The following is a DFT calculation (PBE-GGA) of a relaxed structure of NdGa8Ni2.

## Properties
SG = P4/mmm
density = 5539 kg/m³
raw total energy = -3.751 eV per atom
crystal system = tetragonal
calculated volume = 245.6 Å³/cell
calculated formation energy = -65 meV/atom
DOS(E_F) = 8.91 states/eV/cell

Cell: 5.6253 5.6253 7.7627 Å, 90.00 90.00 90.00°
Last column: nearest neighbours and their distance in Å.
Atoms (fractional coordinates):
Nd 0.0000 0.0000 0.0000  8 Ga 3.15
Ga 0.2520 0.2520 0.3131  2 Ni 2.46
Ga 0.2520 0.2520 0.6869  2 Ni 2.46
Ga 0.2520 0.7480 0.3131  2 Ni 2.46
Ga 0.2520 0.7480 0.6869  2 Ni 2.46
Ga 0.7480 0.2520 0.3131  2 Ni 2.46
Ga 0.7480 0.2520 0.6869  2 Ni 2.46
Ga 0.7480 0.7480 0.3131  2 Ni 2.46
Ga 0.7480 0.7480 0.6869  2 Ni 2.46
Ni 0.0000 0.5000 0.5000  8 Ga 2.46
Ni 0.5000 0.0000 0.5000  8 Ga 2.46


The following is a DFT calculation (PBE-GGA) of a relaxed structure of ZnReSi.

## Properties
SG = I4mm
offset from the most stable computed form = 0.0 meV per atom
density = 11102 kg/m³
raw total energy = -6.332 eV per atom
crystal system = tetragonal
calculated volume = 41.8 Å³/cell
energy relative to the elements, uncorrected = 0.05 eV/atom
DOS(E_F) = 3.29 states/eV/cell

Cell: 4.7842 4.7842 4.7842 Å, 141.66 141.66 55.35°
Last column: nearest neighbours and their distance in Å.
Atoms (fractional coordinates):
Zn 0.0000 0.0000 0.0000  5 Si 2.66-2.77, 5 Re 2.70
Re 0.3190 0.3190 0.0000  4 Si 2.54, 5 Zn 2.70
Si 0.6734 0.6734 0.0000  4 Re 2.54, 5 Zn 2.66-2.77


The following is a DFT calculation (PBE-GGA) of a relaxed structure of Ac8NiAg2.

## Properties
SG = C2/m
density = 8353 kg/m³
raw total energy = -4.139 eV per atom
crystal system = monoclinic
calculated volume = 415.6 Å³/cell
calculated formation energy = -107 meV/atom
DOS(E_F) = 14.45 states/eV/cell

Cell: 10.2347 10.2347 9.9564 Å, 93.76 93.76 23.54°
Last column: nearest neighbours and their distance in Å.
Atoms (fractional coordinates):
Ac 0.0102 0.0102 0.2045  2 Ni 2.91
Ac 0.2219 0.2219 0.3326  2 Ag 3.24
Ac 0.3462 0.3462 0.9996  1 Ni 3.08, 2 Ag 3.31
Ac 0.4079 0.4079 0.4820  2 Ag 3.32, 1 Ac 3.68
Ac 0.5921 0.5921 0.5180  2 Ag 3.32, 1 Ac 3.68
Ac 0.6538 0.6538 0.0004  1 Ni 3.08, 2 Ag 3.31
Ac 0.7781 0.7781 0.6674  2 Ag 3.24
Ac 0.9898 0.9898 0.7955  2 Ni 2.91
Ni 0.5000 0.5000 0.0000  6 Ac 2.91-3.08
Ag 0.1631 0.1631 0.7446  7 Ac 3.24-3.54
Ag 0.8369 0.8369 0.2554  7 Ac 3.24-3.54


The following is a DFT calculation (PBE-GGA) of a relaxed structure of AlIr3.

## Properties
SG = R-3m
density = 17425 kg/m³
raw total energy = -7.864 eV per atom
crystal system = trigonal
calculated volume = 57.5 Å³/cell
calculated formation energy = -283 meV/atom
DOS(E_F) = 3.78 states/eV/cell

Cell: 8.6634 8.6634 8.6634 Å, 18.56 18.56 18.56°
Last column: nearest neighbours and their distance in Å.
Atoms (fractional coordinates):
Al 0.0000 0.0000 0.0000  6 Ir 2.60, 6 Al 2.79
Ir 0.2533 0.2533 0.2533  3 Al 2.60, 9 Ir 2.74-2.79
Ir 0.5000 0.5000 0.5000  12 Ir 2.74-2.79
Ir 0.7467 0.7467 0.7467  3 Al 2.60, 9 Ir 2.74-2.79


The following is a DFT calculation (PBE-GGA) of a relaxed structure of NaSrInBi.

## Properties
SG = F-43m
density = 5556 kg/m³
raw total energy = -2.797 eV per atom
crystal system = cubic
calculated volume = 129.8 Å³/cell
calculated formation energy = -392 meV/atom
DOS(E_F) = 3.82 states/eV/cell

Cell: 5.6839 5.6839 5.6839 Å, 60.00 60.00 60.00°
Last column: nearest neighbours and their distance in Å.
Atoms (fractional coordinates):
Na 0.0000 0.0000 0.0000  4 In 3.48, 4 Bi 3.48
Sr 0.5000 0.5000 0.5000  4 In 3.48, 4 Bi 3.48
In 0.7500 0.7500 0.7500  4 Na 3.48, 4 Sr 3.48
Bi 0.2500 0.2500 0.2500  4 Na 3.48, 4 Sr 3.48


The following is a DFT calculation (PBE-GGA) of a relaxed structure of MgCu2Tc.

## Properties
SG = P2/m
density = 7297 kg/m³
raw total energy = -4.859 eV per atom
crystal system = monoclinic
calculated volume = 56.8 Å³/cell
calculated formation energy = 180 meV/atom
DOS(E_F) = 3.25 states/eV/cell

Cell: 2.6572 3.8738 5.5137 Å, 90.00 90.32 90.00°
Last column: nearest neighbours and their distance in Å.
Atoms (fractional coordinates):
Mg 0.0000 0.0000 0.0000  2 Mg 2.66, 2 Tc 2.76, 8 Cu 2.77-2.78
Cu 0.4992 0.5000 0.2680  3 Cu 2.56-2.66, 4 Tc 2.67-2.68, 4 Mg 2.77-2.78
Cu 0.5008 0.5000 0.7320  3 Cu 2.56-2.66, 4 Tc 2.67-2.68, 4 Mg 2.77-2.78
Tc 0.0000 0.0000 0.5000  2 Tc 2.66, 8 Cu 2.67-2.68, 2 Mg 2.76